Entry from Alexandria via LeMat-Bulk: an optimized crystal structure of Rb5SbTe5 (PBE-GGA).

a b c (Å): 6.957 9.108 9.935
angles (deg): 108.12 90.00 112.45
Last column: magnetic moment on the atom in μB.
Element x y z (fractional)
Rb (0.672, 0.343, 0.843)  0.00
Rb (0.697, 0.394, 0.304)  0.01
Rb (0.000, 0.000, 0.500)  0.01
Rb (0.303, 0.606, 0.696)  0.01
Rb (0.328, 0.657, 0.157)  0.00
Te (0.139, 0.277, 0.289)  0.14
Te (0.500, 0.000, 0.000)  0.18
Te (0.869, 0.739, 0.140)  0.13
Te (0.131, 0.261, 0.860)  0.13
Te (0.861, 0.723, 0.711)  0.14
Sb (0.000, 0.000, 0.000)  0.03

Output
**D(E_F)**: 18.08 states/eV/cell
**Total energy**: -30.90 eV for the cell shown
**Spin magnetization**: 1.57 μB per formula unit

***

Entry from Alexandria via LeMat-Bulk: an optimized crystal structure of Rb5Sb2Te5 (PBE-GGA).

a b c (Å): 5.382 8.130 13.967
angles (deg): 106.67 90.00 109.33
Element x y z (fractional)
Te (0.895, 0.790, 0.618)
Te (0.000, 0.000, 0.000)
Te (0.105, 0.210, 0.382)
Te (0.359, 0.717, 0.213)
Te (0.641, 0.283, 0.787)
Rb (0.758, 0.516, 0.355)
Rb (0.242, 0.484, 0.645)
Rb (0.500, 0.000, 0.500)
Rb (0.662, 0.323, 0.058)
Rb (0.338, 0.677, 0.942)
Sb (0.953, 0.906, 0.204)
Sb (0.047, 0.094, 0.796)

Output
**D(E_F)**: 1.11 states/eV/cell
**Total energy**: -36.81 eV for the cell shown
**Spin magnetization**: 0.00 μB per formula unit

***

Entry from Alexandria via LeMat-Bulk: an optimized crystal structure of Rb2Sb3Te6 (PBE-GGA).

a b c (Å): 7.533 7.533 9.372
angles (deg): 82.29 74.44 60.00
Element x y z (fractional)
Rb (0.166, 0.667, 0.500)
Rb (0.834, 0.333, 0.500)
Te (0.067, 0.332, 0.803)
Te (0.601, 0.332, 0.197)
Te (0.399, 0.668, 0.803)
Te (0.933, 0.668, 0.197)
Te (0.731, 0.000, 0.803)
Te (0.269, 0.000, 0.197)
Sb (0.331, 0.338, 0.000)
Sb (0.000, 0.000, 0.000)
Sb (0.669, 0.662, 0.000)

Output
**D(E_F)**: 6.23 states/eV/cell
**Total energy**: -37.40 eV for the cell shown
**Spin magnetization**: 0.00 μB per formula unit

***

Entry from Alexandria via LeMat-Bulk: an optimized crystal structure of Rb3Sb2Te4 (PBE-GGA).

a b c (Å): 10.881 8.634 8.634
angles (deg): 87.09 80.66 80.66
Element x y z (fractional)
Te (0.970, 0.271, 0.955)
Te (0.386, 0.558, 0.701)
Te (0.030, 0.729, 0.045)
Te (0.114, 0.299, 0.442)
Te (0.530, 0.045, 0.729)
Te (0.614, 0.442, 0.299)
Te (0.886, 0.701, 0.558)
Te (0.470, 0.955, 0.271)
Sb (0.589, 0.731, 0.477)
Sb (0.089, 0.477, 0.731)
Sb (0.411, 0.269, 0.523)
Sb (0.911, 0.523, 0.269)
Rb (0.810, 0.041, 0.275)
Rb (0.750, 0.320, 0.680)
Rb (0.310, 0.275, 0.041)
Rb (0.690, 0.725, 0.959)
Rb (0.190, 0.959, 0.725)
Rb (0.250, 0.680, 0.320)

Output
**Excess energy over the best structure of this formula in the dataset**: 0.356 eV per formula unit
**D(E_F)**: 1.39 states/eV/cell
**Spin magnetization**: 0.00 μB per formula unit